Entry 1:
An optimized crystal structure of GeBAu. Source: the Alexandria database, functional PBE-GGA.

Calculated values
E_tot: -54.068 eV for the cell shown
Magnetization: 0.00 μB/f.u.
Energy of formation from the pure elements: 0.35 eV per atom

Cell lengths 8.260, 3.201, 7.578 Å; angles 90.00, 90.00, 90.00 degrees
Fractional coordinates of all 12 atoms:
1 Ge 0.009 0.250 0.187
2 Ge 0.491 0.750 0.687
3 Ge 0.509 0.250 0.313
4 Ge 0.991 0.750 0.813
5 B 0.000 0.000 0.500
6 B 0.000 0.500 0.500
7 B 0.500 0.000 0.000
8 B 0.500 0.500 0.000
9 Au 0.233 0.750 0.046
10 Au 0.267 0.250 0.546
11 Au 0.733 0.750 0.454
12 Au 0.767 0.250 0.954


Entry 2:
An optimized crystal structure of GeBAu. Source: the Alexandria database, functional PBE-GGA.

Calculated values
E_tot: -27.243 eV for the cell shown
Magnetization: 0.00 μB/f.u.
Energy of formation from the pure elements: 0.32 eV per atom

Cell lengths 3.197, 4.307, 8.397 Å; angles 75.40, 89.96, 69.04 degrees
Fractional coordinates of all 6 atoms:
1 Ge 0.000 0.000 0.000
2 Ge 0.488 0.977 0.318
3 B 0.075 0.718 0.610
4 B 0.541 0.787 0.585
5 Au 0.741 0.490 0.160
6 Au 0.967 0.208 0.680


Entry 3:
An optimized crystal structure of GeB3Au. Source: the Alexandria database, functional PBE-GGA.

Calculated values
Polymorph energy (0 for the lowest one): 46 meV/atom
E_tot: -18.515 eV for the cell shown
Magnetization: 0.00 μB/f.u.
Energy of formation from the pure elements: 1.88 eV per atom

Cell lengths 4.160, 4.160, 4.160 Å; angles 90.00, 90.00, 90.00 degrees
Fractional coordinates of all 5 atoms:
1 Ge 0.000 0.000 0.000
2 B 0.000 0.000 0.500
3 B 0.000 0.500 0.000
4 B 0.500 0.000 0.000
5 Au 0.500 0.500 0.500


Entry 4:
An optimized crystal structure of GeBAu2. Source: the Alexandria database, functional PBE-GGA.

Calculated values
Polymorph energy (0 for the lowest one): 0 meV/atom
E_tot: -31.979 eV for the cell shown
Magnetization: 0.00 μB/f.u.
Energy of formation from the pure elements: 0.47 eV per atom

Cell lengths 7.178, 7.178, 7.178 Å; angles 139.65, 139.65, 58.39 degrees
Fractional coordinates of all 8 atoms:
1 Ge 0.000 0.000 0.000
2 Ge 0.750 0.250 0.500
3 B 0.250 0.750 0.500
4 B 0.500 0.500 0.000
5 Au 0.206 0.625 0.081
6 Au 0.375 0.456 0.581
7 Au 0.544 0.125 0.919
8 Au 0.875 0.794 0.419